Here is a crystal of AgHg7 relaxed with PBEsol from Alexandria via LeMat-Bulk. Energies are from SCAN.

a = 6.2593 Å, b = 6.2593 Å, c = 6.2593 Å
α = 60.00°, β = 60.00°, γ = 60.00°
Atoms (fractional coordinates):
Ag: 0.0000 0.0000 0.0000
Hg: 0.0000 0.0000 0.5000
Hg: 0.0000 0.5000 0.0000
Hg: 0.0000 0.5000 0.5000
Hg: 0.5000 0.0000 0.0000
Hg: 0.5000 0.0000 0.5000
Hg: 0.5000 0.5000 0.0000
Hg: 0.5000 0.5000 0.5000

Results
Space-group type = Fm-3m (225)
Calculated volume = 173 Å³/cell
E_form = 0.10 eV per atom

Here is a crystal of Ag3Hg relaxed with PBEsol from Alexandria via LeMat-Bulk. Energies are from SCAN.

a = 2.9674 Å, b = 2.9674 Å, c = 9.3103 Å
α = 90.00°, β = 90.00°, γ = 120.00°
Atoms (fractional coordinates):
Ag: 0.0000 0.0000 0.0000
Ag: 0.3333 0.6667 0.2417
Ag: 0.3333 0.6667 0.7583
Hg: 0.0000 0.0000 0.5000

Results
Space-group type = P-6m2 (187)
Calculated volume = 71 Å³/cell
E_form = 0.05 eV per atom

Here is a crystal of Ag4Hg3 relaxed with PBEsol from Alexandria via LeMat-Bulk. Energies are from SCAN.

a = 11.0064 Å, b = 11.0064 Å, c = 11.0064 Å
α = 161.81°, β = 161.81°, γ = 25.84°
Atoms (fractional coordinates):
Ag: 0.0708 0.0708 0.0000
Ag: 0.3626 0.3626 0.0000
Ag: 0.6374 0.6374 0.0000
Ag: 0.9292 0.9292 0.0000
Hg: 0.2085 0.2085 0.0000
Hg: 0.5000 0.5000 0.0000
Hg: 0.7915 0.7915 0.0000

Results
Space-group type = I4/mmm (139)
Calculated volume = 130 Å³/cell
E_form = 0.07 eV per atom

Here is a crystal of Ag3Hg relaxed with PBEsol from Alexandria via LeMat-Bulk. Energies are from SCAN.

a = 8.7929 Å, b = 8.7929 Å, c = 8.7929 Å
α = 153.00°, β = 153.00°, γ = 38.56°
Atoms (fractional coordinates):
Ag: 0.0000 0.5000 0.5000
Ag: 0.1240 0.1240 0.0000
Ag: 0.2500 0.7500 0.5000
Ag: 0.5000 0.0000 0.5000
Ag: 0.7500 0.2500 0.5000
Ag: 0.8760 0.8760 0.0000
Hg: 0.3742 0.3742 0.0000
Hg: 0.6258 0.6258 0.0000

Results
Space-group type = I4/mmm (139)
Calculated volume = 140 Å³/cell
E_form = 0.01 eV per atom

Here is a crystal of Ag3Hg relaxed with PBEsol from Alexandria via LeMat-Bulk. Energies are from SCAN.

a = 2.9426 Å, b = 2.9426 Å, c = 8.1428 Å
α = 90.00°, β = 90.00°, γ = 90.00°
Atoms (fractional coordinates):
Ag: 0.0000 0.0000 0.0000
Ag: 0.5000 0.5000 0.2387
Ag: 0.5000 0.5000 0.7613
Hg: 0.0000 0.0000 0.5000

Results
Space-group type = P4/mmm (123)
Calculated volume = 71 Å³/cell
E_form = 0.04 eV per atom

Here is a crystal of AgHg relaxed with PBEsol from Alexandria via LeMat-Bulk. Energies are from SCAN.

a = 3.0580 Å, b = 3.0580 Å, c = 9.4917 Å
α = 90.00°, β = 90.00°, γ = 120.00°
Atoms (fractional coordinates):
Ag: 0.3333 0.6667 0.3851
Ag: 0.6667 0.3333 0.6149
Hg: 0.3333 0.6667 0.8615
Hg: 0.6667 0.3333 0.1385

Results
Space-group type = P-3m1 (164)
Calculated volume = 77 Å³/cell
E_form = 0.07 eV per atom

Here is a crystal of Ag3Hg relaxed with PBEsol from Alexandria via LeMat-Bulk. Energies are from SCAN.

a = 5.5530 Å, b = 5.5530 Å, c = 5.5530 Å
α = 148.89°, β = 62.89°, γ = 126.83°
Atoms (fractional coordinates):
Ag: 0.0000 0.0000 0.0000
Ag: 0.4040 0.6564 0.7476
Ag: 0.9089 0.6564 0.2524
Hg: 0.5027 0.0027 0.5000

Results
Space-group type = Imm2 (44)
Calculated volume = 70 Å³/cell
E_form = 0.03 eV per atom

Here is a crystal of AgHg relaxed with PBEsol from Alexandria via LeMat-Bulk. Energies are from SCAN.

a = 3.0950 Å, b = 3.0950 Å, c = 4.5741 Å
α = 90.00°, β = 90.00°, γ = 120.00°
Atoms (fractional coordinates):
Ag: 0.0000 0.0000 0.0000
Hg: 0.6667 0.3333 0.5000

Results
Space-group type = P-6m2 (187)
Calculated volume = 38 Å³/cell
E_form = 0.06 eV per atom

Here is a crystal of Ag3Hg relaxed with PBEsol from Alexandria via LeMat-Bulk. Energies are from SCAN.

a = 3.2956 Å, b = 3.2956 Å, c = 6.4965 Å
α = 90.00°, β = 90.00°, γ = 90.00°
Atoms (fractional coordinates):
Ag: 0.0000 0.0000 0.0000
Ag: 0.5000 0.5000 0.2380
Ag: 0.5000 0.5000 0.7620
Hg: 0.0000 0.0000 0.5000

Results
Space-group type = P4/mmm (123)
Calculated volume = 71 Å³/cell
E_form = 0.05 eV per atom

Here is a crystal of Ho2AgHg relaxed with PBEsol from Alexandria via LeMat-Bulk. Energies are from SCAN.

a = 5.0792 Å, b = 5.0792 Å, c = 5.0792 Å
α = 60.00°, β = 60.00°, γ = 60.00°
Atoms (fractional coordinates):
Ho: 0.2500 0.2500 0.2500
Ho: 0.7500 0.7500 0.7500
Ag: 0.0000 0.0000 0.0000
Hg: 0.5000 0.5000 0.5000

Results
Space-group type = Fm-3m (225)
Calculated volume = 93 Å³/cell
E_form = -0.56 eV per atom

Here is a crystal of AgHg2I relaxed with PBEsol from Alexandria via LeMat-Bulk. Energies are from SCAN.

a = 6.8818 Å, b = 6.8818 Å, c = 6.8818 Å
α = 99.54°, β = 99.54°, γ = 131.94°
Atoms (fractional coordinates):
Ag: 0.0000 0.0000 0.0000
Ag: 0.7500 0.2500 0.5000
Hg: 0.0735 0.1250 0.4485
Hg: 0.3750 0.9265 0.0515
Hg: 0.6765 0.6250 0.5515
Hg: 0.8750 0.3235 0.9485
I: 0.2500 0.7500 0.5000
I: 0.5000 0.5000 0.0000

Results
E_form (uncorrected) = -21 meV/atom
Space-group type = I-42d (122)
Calculated volume = 221 Å³/cell

Here is a crystal of AgHgTeI2 relaxed with PBEsol from Alexandria via LeMat-Bulk. Energies are from SCAN.

a = 5.7524 Å, b = 5.7524 Å, c = 5.5526 Å
α = 90.00°, β = 90.00°, γ = 90.00°
Atoms (fractional coordinates):
Ag: 0.0000 0.0000 0.0000
Hg: 0.5000 0.5000 0.5000
Te: 0.5000 0.5000 0.0000
I: 0.0000 0.5000 0.5000
I: 0.5000 0.0000 0.5000

Results
E_form (uncorrected) = 492 meV/atom
Space-group type = P4/mmm (123)
Calculated volume = 184 Å³/cell